Rb2BeSe2 | PBEsol | relaxed

The structure in extended XYZ format:
```
5
Lattice="-3.2865 3.2865 5.7645 3.2865 -3.2865 5.7645 3.2865 3.2865 -5.7645" Properties=species:S:1:pos:R:3 pbc="T T T"
Rb 3.2865 0.0000 2.8823
Rb 0.0000 3.2865 2.8823
Be 0.0000 0.0000 0.0000
Se 0.0000 0.0000 1.9980
Se 0.0000 0.0000 9.5311
```

Calculated values
Energy relative to the elements, uncorrected   -414 kJ/mol of formula units
V   249 Å³/cell